Entry i
A plane-wave DFT calculation with PBE-GGA was carried out for a geometry-optimized HfNpPt2 structure.

## Properties
total moment = 3.9 μB/f.u.

a = 4.067 Å, b = 4.067 Å, c = 6.574 Å
α = 71.98°, β = 71.98°, γ = 60.00°
Each line ends with the local moment (μB).
Positions (direct):
1 Pt 0.258 0.258 0.226  -0.04
2 Pt 0.742 0.742 0.774  -0.04
3 Hf 0.000 0.000 0.000  0.10
4 Np 0.500 0.500 0.500  3.65

---

Entry ii
A plane-wave DFT calculation with PBE-GGA was carried out for a geometry-optimized HfNpPt2 structure.

## Properties
total moment = 4.3 μB/f.u.

a = 3.251 Å, b = 3.251 Å, c = 7.523 Å
α = 90.00°, β = 90.00°, γ = 90.00°
Each line ends with the local moment (μB).
Positions (direct):
1 Hf 0.500 0.500 0.000  0.03
2 Pt 0.000 0.000 0.789  0.01
3 Pt 0.000 0.000 0.211  0.01
4 Np 0.500 0.500 0.500  3.99

---

Stability, lowest: entry i

---

Entry i
A plane-wave DFT calculation with PBE-GGA was carried out for a geometry-optimized Hf2NpRe structure.

## Properties
total moment = 2.9 μB/f.u.

a = 4.792 Å, b = 4.792 Å, c = 4.792 Å
α = 60.00°, β = 60.00°, γ = 60.00°
Each line ends with the local moment (μB).
Positions (direct):
1 Np 0.000 0.000 0.000  3.21
2 Hf 0.750 0.750 0.750  0.05
3 Hf 0.250 0.250 0.250  0.05
4 Re 0.500 0.500 0.500  -0.41

---

Entry ii
A plane-wave DFT calculation with PBE-GGA was carried out for a geometry-optimized Hf2NpRe structure.

## Properties
total moment = 4.0 μB/f.u.

a = 3.238 Å, b = 3.238 Å, c = 7.816 Å
α = 90.00°, β = 90.00°, γ = 90.00°
Each line ends with the local moment (μB).
Positions (direct):
1 Re 0.500 0.500 0.000  0.01
2 Hf 0.000 0.000 0.794  0.03
3 Hf 0.000 0.000 0.206  0.03
4 Np 0.500 0.500 0.500  3.64

---

Stability, lowest: entry i